# Ti2VHRu | the Alexandria database | PBE | relaxed
data_Ti2VHRu
_symmetry_space_group_name_H-M 'P 1'
_symmetry_Int_Tables_number 1
_cell_length_a 4.3112
_cell_length_b 4.3112
_cell_length_c 3.3122
_cell_angle_alpha 90.00
_cell_angle_beta 90.00
_cell_angle_gamma 90.00
loop_
_symmetry_equiv_pos_as_xyz
'x,y,z'
loop_
_atom_site_label
_atom_site_type_symbol
_atom_site_fract_x
_atom_site_fract_y
_atom_site_fract_z
Ti1 Ti 0.0000 0.5000 0.0000
Ti2 Ti 0.5000 0.0000 0.0000
Ru1 Ru 0.5000 0.5000 0.5000
V1 V 0.0000 0.0000 0.5000
H1 H 0.0000 0.0000 0.0000
# **Raw total energy**: -39.2 eV for the cell shown
# **SG**: No. 123
# **Theoretical density**: 6.71 g cm⁻³


# ScSb2SeBr | the Alexandria database | PBE | relaxed
data_ScSb2SeBr
_symmetry_space_group_name_H-M 'P 1'
_symmetry_Int_Tables_number 1
_cell_length_a 5.3986
_cell_length_b 5.1696
_cell_length_c 5.3986
_cell_angle_alpha 90.00
_cell_angle_beta 90.00
_cell_angle_gamma 90.00
loop_
_symmetry_equiv_pos_as_xyz
'x,y,z'
loop_
_atom_site_label
_atom_site_type_symbol
_atom_site_fract_x
_atom_site_fract_y
_atom_site_fract_z
Sb1 Sb 0.0000 0.0000 0.5000
Sb2 Sb 0.5000 0.0000 0.0000
Sc1 Sc 0.5000 0.5000 0.5000
Br1 Br 0.0000 0.0000 0.0000
Se1 Se 0.0000 0.5000 0.0000
# **Raw total energy**: -16.8 eV for the cell shown
# **SG**: No. 123
# **Theoretical density**: 4.93 g cm⁻³


# PrYSi2Pd5 | the Alexandria database | PBE | relaxed
data_PrYSi2Pd5
_symmetry_space_group_name_H-M 'P 1'
_symmetry_Int_Tables_number 1
_cell_length_a 4.2310
_cell_length_b 4.2310
_cell_length_c 9.0479
_cell_angle_alpha 90.00
_cell_angle_beta 90.00
_cell_angle_gamma 90.00
loop_
_symmetry_equiv_pos_as_xyz
'x,y,z'
loop_
_atom_site_label
_atom_site_type_symbol
_atom_site_fract_x
_atom_site_fract_y
_atom_site_fract_z
Pd1 Pd 0.0000 0.5000 0.2621
Pd2 Pd 0.5000 0.5000 0.5000
Pd3 Pd 0.0000 0.5000 0.7379
Pd4 Pd 0.5000 0.0000 0.7379
Pd5 Pd 0.5000 0.0000 0.2621
Y1 Y 0.0000 0.0000 0.0000
Si1 Si 0.5000 0.5000 0.8696
Si2 Si 0.5000 0.5000 0.1304
Pr1 Pr 0.0000 0.0000 0.5000
# **Raw total energy**: -56.0 eV for the cell shown
# **SG**: No. 123
# **Theoretical density**: 8.39 g cm⁻³


# Pr2ZrSc | the Alexandria database | PBE | relaxed
data_Pr2ZrSc
_symmetry_space_group_name_H-M 'P 1'
_symmetry_Int_Tables_number 1
_cell_length_a 5.4603
_cell_length_b 5.4603
_cell_length_c 5.4603
_cell_angle_alpha 60.00
_cell_angle_beta 60.00
_cell_angle_gamma 60.00
loop_
_symmetry_equiv_pos_as_xyz
'x,y,z'
loop_
_atom_site_label
_atom_site_type_symbol
_atom_site_fract_x
_atom_site_fract_y
_atom_site_fract_z
Pr1 Pr 0.2500 0.2500 0.2500
Pr2 Pr 0.7500 0.7500 0.7500
Sc1 Sc 0.5000 0.5000 0.5000
Zr1 Zr 0.0000 0.0000 0.0000
# **SG**: No. 225
# **Theoretical density**: 6.03 g cm⁻³
# **Polymorph energy (0 for the lowest one)**: 52 meV/atom


# TaAl3Cr | the Alexandria database | PBE | relaxed
data_TaAl3Cr
_symmetry_space_group_name_H-M 'P 1'
_symmetry_Int_Tables_number 1
_cell_length_a 4.4461
_cell_length_b 4.4461
_cell_length_c 4.4461
_cell_angle_alpha 90.00
_cell_angle_beta 90.00
_cell_angle_gamma 90.00
loop_
_symmetry_equiv_pos_as_xyz
'x,y,z'
loop_
_atom_site_label
_atom_site_type_symbol
_atom_site_fract_x
_atom_site_fract_y
_atom_site_fract_z
Al1 Al 0.0000 0.5000 0.0000
Al2 Al 0.5000 0.0000 0.0000
Al3 Al 0.0000 0.0000 0.5000
Cr1 Cr 0.0000 0.0000 0.0000
Ta1 Ta 0.5000 0.5000 0.5000
# **SG**: No. 221
# **Theoretical density**: 5.93 g cm⁻³
# **Polymorph energy (0 for the lowest one)**: 0 meV/atom


# CaDyY2 | the Alexandria database | PBE | relaxed
data_CaDyY2
_symmetry_space_group_name_H-M 'P 1'
_symmetry_Int_Tables_number 1
_cell_length_a 3.6078
_cell_length_b 3.6078
_cell_length_c 12.2687
_cell_angle_alpha 81.54
_cell_angle_beta 81.54
_cell_angle_gamma 60.00
loop_
_symmetry_equiv_pos_as_xyz
'x,y,z'
loop_
_atom_site_label
_atom_site_type_symbol
_atom_site_fract_x
_atom_site_fract_y
_atom_site_fract_z
Y1 Y 0.7451 0.7451 0.7648
Y2 Y 0.2549 0.2549 0.2352
Ca1 Ca 0.5000 0.5000 0.5000
Dy1 Dy 0.0000 0.0000 0.0000
# **SG**: No. 166
# **Theoretical density**: 4.63 g cm⁻³
# **Polymorph energy (0 for the lowest one)**: 5 meV/atom


# HfCrCo | the Alexandria database | PBE | relaxed
data_HfCrCo
_symmetry_space_group_name_H-M 'P 1'
_symmetry_Int_Tables_number 1
_cell_length_a 2.9584
_cell_length_b 4.0767
_cell_length_c 7.3623
_cell_angle_alpha 90.00
_cell_angle_beta 101.59
_cell_angle_gamma 90.00
loop_
_symmetry_equiv_pos_as_xyz
'x,y,z'
loop_
_atom_site_label
_atom_site_type_symbol
_atom_site_fract_x
_atom_site_fract_y
_atom_site_fract_z
Hf1 Hf 0.0811 0.7500 0.1623
Hf2 Hf 0.9189 0.2500 0.8377
Co1 Co 0.3813 0.7500 0.7625
Co2 Co 0.6187 0.2500 0.2375
Cr1 Cr 0.2484 0.2500 0.4968
Cr2 Cr 0.7516 0.7500 0.5032
# **SG**: No. 63
# **Theoretical density**: 11.05 g cm⁻³
# **Polymorph energy (0 for the lowest one)**: 136 meV/atom


# In2TeCl | the Alexandria database | PBE | relaxed
data_In2TeCl
_symmetry_space_group_name_H-M 'P 1'
_symmetry_Int_Tables_number 1
_cell_length_a 5.5801
_cell_length_b 5.5802
_cell_length_c 3.7019
_cell_angle_alpha 90.00
_cell_angle_beta 90.00
_cell_angle_gamma 90.07
loop_
_symmetry_equiv_pos_as_xyz
'x,y,z'
loop_
_atom_site_label
_atom_site_type_symbol
_atom_site_fract_x
_atom_site_fract_y
_atom_site_fract_z
In1 In 0.0000 0.0000 0.0000
In2 In 0.5000 0.5000 0.0000
Cl1 Cl 0.0000 0.5000 0.5000
Te1 Te 0.5000 0.0000 0.5000
# **SG**: No. 65
# **Theoretical density**: 5.66 g cm⁻³
# **Polymorph energy (0 for the lowest one)**: 158 meV/atom


# AsPtSe2 | the Alexandria database | PBE | relaxed
data_AsPtSe2
_symmetry_space_group_name_H-M 'P 1'
_symmetry_Int_Tables_number 1
_cell_length_a 3.8580
_cell_length_b 4.7836
_cell_length_c 4.7846
_cell_angle_alpha 65.13
_cell_angle_beta 90.00
_cell_angle_gamma 90.00
loop_
_symmetry_equiv_pos_as_xyz
'x,y,z'
loop_
_atom_site_label
_atom_site_type_symbol
_atom_site_fract_x
_atom_site_fract_y
_atom_site_fract_z
Se1 Se 0.0000 0.9526 0.9525
Se2 Se 0.5000 0.2680 0.2679
As1 As 0.0000 0.5390 0.5393
Pt1 Pt 0.5000 0.7404 0.7403
# **Raw total energy**: -18.3 eV for the cell shown
# **SG**: No. 38
# **Theoretical density**: 8.87 g cm⁻³


# BeCrSe2 | the Alexandria database | PBE | relaxed
data_BeCrSe2
_symmetry_space_group_name_H-M 'P 1'
_symmetry_Int_Tables_number 1
_cell_length_a 5.6559
_cell_length_b 5.6559
_cell_length_c 6.4950
_cell_angle_alpha 64.19
_cell_angle_beta 64.19
_cell_angle_gamma 90.00
loop_
_symmetry_equiv_pos_as_xyz
'x,y,z'
loop_
_atom_site_label
_atom_site_type_symbol
_atom_site_fract_x
_atom_site_fract_y
_atom_site_fract_z
Se1 Se 0.8750 0.8340 0.7500
Se2 Se 0.3750 0.4160 0.7500
Se3 Se 0.5840 0.1250 0.2500
Se4 Se 0.1660 0.6250 0.2500
Cr1 Cr 0.7500 0.2500 0.5000
Cr2 Cr 0.0000 0.0000 0.0000
Be1 Be 0.5000 0.5000 0.0000
Be2 Be 0.2500 0.7500 0.5000
# **Raw total energy**: -44.1 eV for the cell shown
# **SG**: No. 122
# **Theoretical density**: 4.44 g cm⁻³


# Ta2GaIr2 | the Alexandria database | PBE | relaxed
data_Ta2GaIr2
_symmetry_space_group_name_H-M 'P 1'
_symmetry_Int_Tables_number 1
_cell_length_a 4.3795
_cell_length_b 4.3795
_cell_length_c 6.0427
_cell_angle_alpha 68.75
_cell_angle_beta 68.75
_cell_angle_gamma 90.00
loop_
_symmetry_equiv_pos_as_xyz
'x,y,z'
loop_
_atom_site_label
_atom_site_type_symbol
_atom_site_fract_x
_atom_site_fract_y
_atom_site_fract_z
Ga1 Ga 0.0000 0.0000 0.0000
Ir1 Ir 0.3777 0.3777 0.2446
Ir2 Ir 0.6223 0.6223 0.7554
Ta1 Ta 0.2500 0.7500 0.5000
Ta2 Ta 0.7500 0.2500 0.5000
# **SG**: No. 139
# **Theoretical density**: 13.62 g cm⁻³
# **Polymorph energy (0 for the lowest one)**: 266 meV/atom


# LiAlSn2 | the Alexandria database | PBE | relaxed
data_LiAlSn2
_symmetry_space_group_name_H-M 'P 1'
_symmetry_Int_Tables_number 1
_cell_length_a 3.6500
_cell_length_b 3.6500
_cell_length_c 6.6708
_cell_angle_alpha 90.00
_cell_angle_beta 90.00
_cell_angle_gamma 90.00
loop_
_symmetry_equiv_pos_as_xyz
'x,y,z'
loop_
_atom_site_label
_atom_site_type_symbol
_atom_site_fract_x
_atom_site_fract_y
_atom_site_fract_z
Sn1 Sn 0.0000 0.0000 0.7610
Sn2 Sn 0.0000 0.0000 0.2390
Al1 Al 0.5000 0.5000 0.0000
Li1 Li 0.5000 0.5000 0.5000
# **Raw total energy**: -13.9 eV for the cell shown
# **SG**: No. 123
# **Theoretical density**: 5.07 g cm⁻³